A plane-wave DFT calculation with PBE-GGA was carried out for a relaxed structure of PrDy3Os.

a b c (Å): 5.452 5.452 5.452
angles (deg): 90.00 90.00 90.00
Positions (direct):
Pr1 0.000 0.000 0.000
Dy1 0.000 0.500 0.500
Dy2 0.500 0.000 0.500
Dy3 0.500 0.500 0.000
Os1 0.500 0.500 0.500

formation energy = -0.04 eV per formula unit